ReTcNi (GGA-PBE, relaxed); distance to the lowest polymorph of the same formula = 0.000 eV per atom
1.0
-1.3096 1.9558 3.9849
1.3096 -1.9558 3.9849
1.3096 1.9558 -3.9849
Re Tc Ni
1 1 1
direct
0.0000 0.0000 0.0000 Re
0.6720 0.6720 0.0000 Tc
0.3362 0.3362 0.0000 Ni